Here is Zn2Cd2AgAu5 after structural relaxation from Alexandria via LeMat-Bulk. Energies are from PBE-GGA.

a = 4.0185 Å, b = 9.6205 Å, c = 9.6205 Å
α = 90.00°, β = 90.00°, γ = 90.00°
Fractional coordinates of all 20 atoms:
1 Zn 0.0000 0.1273 0.6273
2 Zn 0.0000 0.8727 0.3727
3 Zn 0.0000 0.6273 0.8727
4 Zn 0.0000 0.3727 0.1273
5 Cd 0.0000 0.6690 0.1690
6 Cd 0.0000 0.3310 0.8310
7 Cd 0.0000 0.1690 0.3310
8 Cd 0.0000 0.8310 0.6690
9 Ag 0.0000 0.0000 0.0000
10 Ag 0.0000 0.5000 0.5000
11 Au 0.5000 0.1907 0.0940
12 Au 0.5000 0.8093 0.9060
13 Au 0.5000 0.0940 0.8093
14 Au 0.5000 0.6907 0.4060
15 Au 0.5000 0.9060 0.1907
16 Au 0.5000 0.3093 0.5940
17 Au 0.5000 0.5940 0.6907
18 Au 0.5000 0.4060 0.3093
19 Au 0.5000 0.5000 0.0000
20 Au 0.5000 0.0000 0.5000

The calculation puts the total magnetic moment at 0.000 μB per formula unit. The value obtained for the calculated formation energy is -0.10 eV/atom.


Here is TbDyCd4 after structural relaxation from Alexandria via LeMat-Bulk. Energies are from PBE-GGA.

a = 3.3863 Å, b = 6.7354 Å, c = 8.3232 Å
α = 119.67°, β = 78.26°, γ = 75.44°
Each line ends with the local moment (μB).
Fractional coordinates of all 6 atoms:
1 Tb 0.5000 0.5000 0.5000  0.17
2 Dy 0.0000 0.0000 0.0000  0.14
3 Cd 0.8359 0.4905 0.8376  0.00
4 Cd 0.3381 0.9879 0.3360  0.00
5 Cd 0.1641 0.5095 0.1624  0.00
6 Cd 0.6619 0.0121 0.6640  0.00

The calculation puts the total magnetic moment at 0.396 μB per formula unit. For the relative energy among the computed polymorphs, the calculation gives 0.089 eV/atom. The value obtained for the calculated formation energy is -0.23 eV/atom.


Here is Bi2BI after structural relaxation from Alexandria via LeMat-Bulk. Energies are from PBE-GGA.

a = 7.1343 Å, b = 7.1343 Å, c = 7.1645 Å
α = 60.14°, β = 60.14°, γ = 90.00°
Fractional coordinates of all 8 atoms:
1 I 0.0000 0.0000 0.0000
2 I 0.7500 0.2500 0.5000
3 B 0.5000 0.5000 0.0000
4 B 0.2500 0.7500 0.5000
5 Bi 0.5195 0.1250 0.2500
6 Bi 0.2305 0.6250 0.2500
7 Bi 0.3750 0.4805 0.7500
8 Bi 0.8750 0.7695 0.7500

The calculation puts the total magnetic moment at 0.000 μB per formula unit. For the relative energy among the computed polymorphs, the calculation gives 0.000 eV/atom. The calculation puts the uncorrected formation energy at 0.618 eV/atom.